This record from Alexandria via LeMat-Bulk describes a crystal of AlAg relaxed with PBEsol. The functional is meta-GGA SCAN.

Properties
* space-group type: No. 10
* raw total energy: -157.08 eV/cell

Cell: 2.9197 4.7142 9.4926 Å, 98.27 90.00 90.00°
Atoms (fractional coordinates):
Ag 0.0000 0.2257 0.2479
Ag 0.0000 0.5000 0.0000
Ag 0.0000 0.7743 0.7521
Ag 0.5000 0.5000 0.5000
Al 0.0000 0.0000 0.5000
Al 0.5000 0.2689 0.7490
Al 0.5000 0.0000 0.0000
Al 0.5000 0.7311 0.2510